Entry 1:
A plane-wave DFT calculation with PBE was carried out for a relaxed structure of Ac4Bi2SbPb.

Cell lengths 8.402, 4.829, 8.455 Å; angles 90.00, 109.20, 90.00 degrees
Fractional positions:
Ac (0.246, 0.000, 0.247)
Ac (0.248, 0.500, 0.752)
Ac (0.752, 0.500, 0.248)
Ac (0.754, 0.000, 0.753)
Bi (0.500, 0.000, 0.000)
Bi (0.500, 0.500, 0.500)
Sb (0.000, 0.500, 0.000)
Pb (0.000, 0.000, 0.500)

* ΔE_f (raw): -891 meV/atom

Entry 2:
A plane-wave DFT calculation with PBE was carried out for a relaxed structure of Ac4BiSb2Pb.

Cell lengths 8.364, 4.786, 8.450 Å; angles 90.00, 108.95, 90.00 degrees
Fractional positions:
Ac (0.247, 0.000, 0.243)
Ac (0.252, 0.500, 0.755)
Ac (0.748, 0.500, 0.245)
Ac (0.753, 0.000, 0.757)
Bi (0.000, 0.000, 0.500)
Sb (0.000, 0.500, 0.000)
Sb (0.500, 0.000, 0.000)
Pb (0.500, 0.500, 0.500)

* ΔE_f (raw): -942 meV/atom

Entry 3:
A plane-wave DFT calculation with PBE was carried out for a relaxed structure of AcScBiPb.

Cell lengths 5.607, 5.607, 5.607 Å; angles 60.00, 60.00, 60.00 degrees
Fractional positions:
Ac (0.000, 0.000, 0.000)
Sc (0.500, 0.500, 0.500)
Bi (0.250, 0.250, 0.250)
Pb (0.750, 0.750, 0.750)

* ΔE_f: -0.3893 eV/atom

Entry 4:
A plane-wave DFT calculation with PBE was carried out for a relaxed structure of Ac4BiPb2Se.

Cell lengths 8.222, 4.703, 8.473 Å; angles 90.00, 108.68, 90.00 degrees
Fractional positions:
Ac (0.241, 0.000, 0.242)
Ac (0.246, 0.500, 0.753)
Ac (0.754, 0.500, 0.247)
Ac (0.759, 0.000, 0.758)
Bi (0.500, 0.000, 0.000)
Pb (0.000, 0.000, 0.500)
Pb (0.500, 0.500, 0.500)
Se (0.000, 0.500, 0.000)

* ΔE_f (raw): -936 meV/atom

Entry 5:
A plane-wave DFT calculation with PBE was carried out for a relaxed structure of Ac6Bi3PbSe2.

Cell lengths 10.622, 10.622, 9.495 Å; angles 102.92, 102.92, 25.95 degrees
Fractional positions:
Ac (0.004, 0.004, 0.249)
Ac (0.331, 0.331, 0.424)
Ac (0.334, 0.334, 0.912)
Ac (0.666, 0.666, 0.088)
Ac (0.669, 0.669, 0.576)
Ac (0.996, 0.996, 0.751)
Bi (0.167, 0.167, 0.829)
Bi (0.500, 0.500, 0.500)
Bi (0.833, 0.833, 0.171)
Pb (0.500, 0.500, 0.000)
Se (0.170, 0.170, 0.337)
Se (0.830, 0.830, 0.663)

* ΔE_f (raw): -1205 meV/atom

Entry 6:
A plane-wave DFT calculation with PBE was carried out for a relaxed structure of Ac6BiPb3Se2.

Cell lengths 10.666, 10.666, 9.575 Å; angles 103.85, 103.85, 25.62 degrees
Fractional positions:
Ac (0.005, 0.005, 0.254)
Ac (0.331, 0.331, 0.424)
Ac (0.331, 0.331, 0.912)
Ac (0.669, 0.669, 0.088)
Ac (0.669, 0.669, 0.576)
Ac (0.995, 0.995, 0.746)
Bi (0.500, 0.500, 0.000)
Pb (0.165, 0.165, 0.827)
Pb (0.500, 0.500, 0.500)
Pb (0.835, 0.835, 0.173)
Se (0.169, 0.169, 0.335)
Se (0.831, 0.831, 0.665)

* ΔE_f (raw): -1018 meV/atom

Entry 7:
A plane-wave DFT calculation with PBE was carried out for a relaxed structure of AcSmBiPb.

Cell lengths 5.748, 5.748, 5.748 Å; angles 60.00, 60.00, 60.00 degrees
Fractional positions:
Ac (0.000, 0.000, 0.000)
Sm (0.500, 0.500, 0.500)
Bi (0.750, 0.750, 0.750)
Pb (0.250, 0.250, 0.250)

* ΔE_f: -0.5289 eV/atom

Entry 8:
A plane-wave DFT calculation with PBE was carried out for a relaxed structure of AcSnBiPb2.

Cell lengths 8.629, 8.629, 6.594 Å; angles 90.00, 90.00, 134.68 degrees
Fractional positions:
Ac (0.243, 0.757, 0.750)
Ac (0.757, 0.243, 0.250)
Sn (0.146, 0.854, 0.250)
Sn (0.854, 0.146, 0.750)
Bi (0.335, 0.665, 0.250)
Bi (0.665, 0.335, 0.750)
Pb (0.249, 0.249, 0.000)
Pb (0.249, 0.249, 0.500)
Pb (0.751, 0.751, 0.000)
Pb (0.751, 0.751, 0.500)

* ΔE_f: -0.2587 eV/atom

no.,final energy (eV/cell)
1,-39.16
2,-39.81
3,-19.59
4,-38.70
5,-61.43
6,-58.85
7,-18.53
8,-41.40